First-principles (GGA+U) data for an optimized crystal structure of Gd5Co2Br3O10, as listed in the Open Quantum Materials Database.

extended XYZ file:
```
20
Lattice="5.899 -2.798 0.000 5.899 2.798 0.000 -0.912 0.000 10.135" Properties=species:S:1:pos:R:3 pbc="T T T"
Gd 0.000 0.000 0.000
Gd 3.492 0.000 0.944
Gd 3.923 0.000 7.752
Gd 6.964 0.000 2.382
Gd 7.394 0.000 9.191
Co 0.165 0.000 7.135
Co 10.721 0.000 2.999
Br 1.350 0.000 3.834
Br 5.443 0.000 5.067
Br 9.536 0.000 6.300
O 3.252 1.367 9.406
O 5.128 1.408 1.887
O 1.850 0.000 6.812
O 5.758 1.408 8.247
O 7.634 1.367 0.729
O 3.252 -1.367 9.406
O 5.128 -1.408 1.887
O 9.036 0.000 3.323
O 5.758 -1.408 8.247
O 7.634 -1.367 0.729
```

## Properties
- calculated volume (Å³ per atom) = 16.73
- final energy (eV for the cell shown) = -134.3
- crystal system = monoclinic